First-principles (GGA-PBE) data for a geometry-optimized InOsBr structure, as listed in Alexandria.

```
InOsBr
1.0
3.3177 0.0000 0.0000
-1.6589 2.8732 0.0000
0.0000 0.0000 6.3697
Os Br In
1 1 1
Direct
0.3333 0.6667 0.6650
0.0000 0.0000 0.9741
0.6667 0.3333 0.3609
```

Summary:
Spin magnetization in μB/atom: 0.00
Final energy in eV/cell: -13.2
Offset from the most stable computed form in eV/f.u.: 0.000
SG: P3m1
E_form (uncorrected) in kJ per mole of atoms: 80



First-principles (GGA-PBE) data for a geometry-optimized DyTiMn4 structure, as listed in Alexandria.

```
DyTiMn4
1.0
-1.1446 3.4789 -3.3191
-4.5991 1.7984 -0.2092
-0.9148 4.6253 1.4832
Dy Mn Ti
1 4 1
Direct
0.0000 0.0000 0.0000
0.6242 0.6242 0.1273
0.6242 0.1273 0.6242
0.6242 0.6242 0.6242
0.1273 0.6242 0.6242
0.2500 0.2500 0.2500
```

Summary:
Spin magnetization in μB/atom: 0.38
Final energy in eV/cell: -49.1
E_form in eV per formula unit: 0.04
SG: F-43m



First-principles (GGA-PBE) data for a geometry-optimized TcPbCl2 structure, as listed in Alexandria.

```
TcPbCl2
1.0
5.3693 0.0002 0.0000
1.3536 5.1959 0.0000
-3.3614 -2.5981 3.2833
Tc Pb Cl
1 1 2
Direct
0.2500 0.7500 0.5000
0.7500 0.2500 0.5000
0.0000 0.0000 0.0000
0.5000 0.5000 0.0000
```

Summary:
Spin magnetization in μB/atom: 0.87
Final energy in eV/cell: -16.2
Offset from the most stable computed form in eV/f.u.: 2.201
SG: I4/mmm
E_form (uncorrected) in kJ per mole of atoms: 37



Which value of spin magnetization does entry 1 give? 0.00 μB/atom